# 1
Below is an optimized crystal structure of Tb2Al6Si4Pt, with properties calculated at the PBE level.

```
Tb2Al6Si4Pt
1.0
17.002 -0.016 -0.009
16.491 4.136 -0.009
16.491 2.028 3.604
Al Si Tb Pt
6 4 2 1
Direct
0.682 0.682 0.682
0.051 0.051 0.051
0.815 0.815 0.815
0.185 0.185 0.185
0.318 0.318 0.318
0.949 0.949 0.949
0.734 0.734 0.734
0.266 0.266 0.266
0.135 0.135 0.135
0.865 0.865 0.865
0.434 0.434 0.434
0.566 0.566 0.566
0.000 0.000 0.000
```

E (Ry/atom): -0.37505

# 2
Below is an optimized crystal structure of Tb2Al3SiPt4, with properties calculated at the PBE level.

```
Tb2Al3SiPt4
1.0
-3.360 0.556 -2.404
2.072 -1.569 -3.259
-3.364 -9.602 2.483
Pt Al Tb Si
4 3 2 1
Direct
0.000 0.000 0.000
0.500 0.500 0.000
0.000 0.500 0.370
0.500 0.000 0.630
0.000 0.500 0.135
0.500 0.000 0.865
0.000 0.000 0.500
0.500 0.000 0.259
0.000 0.500 0.741
0.500 0.500 0.500
```

E (Ry/atom): -0.45030

# 3
Below is an optimized crystal structure of Tb2AlSiPt6, with properties calculated at the PBE level.

```
Tb2AlSiPt6
1.0
-5.439 -5.871 -0.028
2.221 -2.035 -4.743
-0.238 -7.998 -0.008
Tb Pt Si Al
2 6 1 1
Direct
0.794 0.206 0.588
0.206 0.794 0.412
0.248 0.752 0.989
0.752 0.248 0.011
0.743 0.752 0.495
0.248 0.258 0.989
0.257 0.248 0.505
0.752 0.742 0.011
0.000 0.000 0.000
0.500 0.500 0.000
```

E (Ry/atom): -0.47158

# 4
Below is an optimized crystal structure of Th2AlSiPt6, with properties calculated at the PBE level.

```
Th2AlSiPt6
1.0
5.542 0.000 0.000
0.000 8.371 0.000
0.000 0.000 8.585
Pt Th Al Si
12 4 2 2
Direct
0.752 0.515 0.000
0.500 0.116 0.252
0.249 0.009 0.000
0.000 0.884 0.248
0.000 0.884 0.752
0.748 0.485 0.500
0.749 0.991 0.500
0.248 0.515 0.000
0.500 0.116 0.748
0.252 0.485 0.500
0.251 0.991 0.500
0.751 0.009 0.000
0.000 0.270 0.248
0.000 0.270 0.752
0.500 0.730 0.252
0.500 0.730 0.748
0.500 0.271 0.000
0.000 0.729 0.500
0.500 0.249 0.500
0.000 0.751 0.000
```

E (Ry/atom): -0.51884

# 5
Below is an optimized crystal structure of Th2AlSi3Pt4, with properties calculated at the PBE level.

```
Th2AlSi3Pt4
1.0
-2.476 2.256 -2.653
-3.480 -1.726 1.780
-0.309 7.509 6.674
Si Pt Th Al
3 4 2 1
Direct
0.500 0.000 0.869
0.000 0.500 0.131
0.000 0.000 0.500
0.000 0.500 0.371
0.500 0.000 0.629
0.000 0.000 0.000
0.500 0.500 0.000
0.000 0.500 0.754
0.500 0.000 0.246
0.500 0.500 0.500
```

E (Ry/atom): -0.51812

# 6
Below is an optimized crystal structure of Th2AlSi4Pt3, with properties calculated at the PBE level.

```
Th2AlSi4Pt3
1.0
4.261 0.000 0.000
0.000 4.261 0.000
0.000 0.000 10.007
Si Pt Th Al
4 3 2 1
Direct
0.500 0.000 0.638
0.000 0.500 0.362
0.500 0.500 0.000
0.000 0.000 0.000
0.000 0.000 0.500
0.500 0.000 0.880
0.000 0.500 0.120
0.000 0.500 0.754
0.500 0.000 0.246
0.500 0.500 0.500
```

E (Ry/atom): -0.50368

# 7
Below is an optimized crystal structure of ThAlSiPt6, with properties calculated at the PBE level.

```
ThAlSiPt6
1.0
-2.170 2.751 -6.357
-6.887 -5.201 0.100
1.584 5.176 5.844
Pt Si Al Th
12 2 2 2
Direct
0.896 0.146 0.792
0.104 0.854 0.208
0.410 0.660 0.820
0.634 0.885 0.751
0.883 0.634 0.249
0.366 0.634 0.249
0.117 0.366 0.751
0.117 0.885 0.751
0.366 0.115 0.249
0.634 0.366 0.751
0.883 0.115 0.249
0.590 0.340 0.180
0.500 0.000 0.000
0.500 0.500 0.000
0.000 0.000 0.500
0.500 0.000 0.500
0.844 0.594 0.688
0.156 0.406 0.312
```

E (Ry/atom): -0.47977

# 8
Below is an optimized crystal structure of Tm2AlSi3Pt4, with properties calculated at the PBE level.

```
Tm2AlSi3Pt4
1.0
-2.838 1.778 2.420
1.640 -1.872 3.298
6.194 7.944 1.428
Pt Tm Si Al
4 2 3 1
Direct
0.000 0.500 0.364
0.000 0.000 0.000
0.500 0.500 0.000
0.500 0.000 0.636
0.500 0.000 0.249
0.000 0.500 0.751
0.000 0.000 0.500
0.000 0.500 0.133
0.500 0.000 0.867
0.500 0.500 0.500
```

E (Ry/atom): -0.47149

Energy relative to the elements, uncorrected: -530 -1119 -949 -1034 -1148 -1013 -658 -1103 (meV per atom)
Volume: 19.6 18.2 20.0 19.9 18.4 18.2 19.6 17.4 (Å³ per atom)